Record 1
Computed, not measured: a geometry-optimized NiRu2Se2 structure at the GGA-PBEsol level of DFT.

Cell and atoms, written as CIF:
```
data_NiRu2Se2
_chemical_formula_sum 'Ni2 Ru4 Se4'
_symmetry_space_group_name_H-M 'I 4/m m m'
_symmetry_Int_Tables_number 139
_symmetry_space_group_name_Hall '-I 4 2'
_cell_length_a 3.8818
_cell_length_b 3.8818
_cell_length_c 10.8331
_cell_angle_alpha 90.00
_cell_angle_beta 90.00
_cell_angle_gamma 90.00
loop_
_atom_site_label
_atom_site_type_symbol
_atom_site_fract_x
_atom_site_fract_y
_atom_site_fract_z
_atom_site_occupancy
Ni1 Ni 0.0000 0.0000 0.0000 1
Ru1 Ru 0.0000 0.0000 0.3863 1
Se1 Se 0.0000 0.5000 0.2500 1
```

Results
Total magnetization = 0.6 μB per cell
Formation energy from raw total energies = 0.65 eV per atom
E = -61.93 eV for the cell shown

=====

Record 2
Computed, not measured: a geometry-optimized RbLaPb2 structure at the GGA-PBEsol level of DFT.

Cell and atoms, written as CIF:
```
data_RbLaPb2
_chemical_formula_sum 'Rb4 La4 Pb8'
_symmetry_space_group_name_H-M 'F m -3 m'
_symmetry_Int_Tables_number 225
_symmetry_space_group_name_Hall '-F 4 2 3'
_cell_length_a 8.1207
_cell_length_b 8.1207
_cell_length_c 8.1207
_cell_angle_alpha 90.00
_cell_angle_beta 90.00
_cell_angle_gamma 90.00
loop_
_atom_site_label
_atom_site_type_symbol
_atom_site_fract_x
_atom_site_fract_y
_atom_site_fract_z
_atom_site_occupancy
Rb1 Rb 0.0000 0.0000 0.0000 1
La1 La 0.0000 0.0000 0.5000 1
Pb1 Pb 0.2500 0.2500 0.2500 1
```

Results
Total magnetization = 0.0 μB per cell
E = -59.74 eV for the cell shown

=====

Record 3
Computed, not measured: a geometry-optimized Fe2MoIr structure at the GGA-PBEsol level of DFT.

Cell and atoms, written as CIF:
```
data_Fe2MoIr
_chemical_formula_sum 'Fe6 Mo3 Ir3'
_symmetry_space_group_name_H-M 'R -3 m'
_symmetry_Int_Tables_number 166
_symmetry_space_group_name_Hall '-R 3 2"'
_cell_length_a 2.6468
_cell_length_b 2.6468
_cell_length_c 25.5577
_cell_angle_alpha 90.00
_cell_angle_beta 90.00
_cell_angle_gamma 120.00
loop_
_atom_site_label
_atom_site_type_symbol
_atom_site_fract_x
_atom_site_fract_y
_atom_site_fract_z
_atom_site_occupancy
Fe1 Fe 0.0000 0.0000 0.2485 1
Mo1 Mo 0.0000 0.0000 0.0000 1
Ir1 Ir 0.0000 0.0000 0.5000 1
```

Results
Total magnetization = 11.1 μB per cell
E = -116.43 eV for the cell shown

=====

Record 4
Computed, not measured: a geometry-optimized K2SbF5 structure at the GGA-PBEsol level of DFT.

Cell and atoms, written as CIF:
```
data_K2SbF5
_chemical_formula_sum 'K4 Sb2 F10'
_symmetry_space_group_name_H-M 'P 1 21/m 1'
_symmetry_Int_Tables_number 11
_symmetry_space_group_name_Hall '-P 2yb'
_cell_length_a 6.3176
_cell_length_b 6.4591
_cell_length_c 7.3969
_cell_angle_alpha 90.00
_cell_angle_beta 113.45
_cell_angle_gamma 90.00
loop_
_atom_site_label
_atom_site_type_symbol
_atom_site_fract_x
_atom_site_fract_y
_atom_site_fract_z
_atom_site_occupancy
K1 K 0.1057 0.2500 0.1446 1
K2 K 0.2380 0.7500 0.4989 1
Sb1 Sb 0.4015 0.2500 0.8210 1
F1 F 0.1444 0.0346 0.8030 1
F2 F 0.2101 0.2500 0.5339 1
F3 F 0.4284 0.5258 0.2739 1
```

Results
Total magnetization = 0.0 μB per cell
Formation energy from raw total energies = -2.66 eV per atom
E = -75.49 eV for the cell shown

=====

Record 5
Computed, not measured: a geometry-optimized YMnTe2 structure at the GGA-PBEsol level of DFT.

Cell and atoms, written as CIF:
```
data_YMnTe2
_chemical_formula_sum 'Y1 Mn1 Te2'
_symmetry_space_group_name_H-M 'P 4/m m m'
_symmetry_Int_Tables_number 123
_symmetry_space_group_name_Hall '-P 4 2'
_cell_length_a 5.0109
_cell_length_b 5.0109
_cell_length_c 3.7106
_cell_angle_alpha 90.00
_cell_angle_beta 90.00
_cell_angle_gamma 90.00
loop_
_atom_site_label
_atom_site_type_symbol
_atom_site_fract_x
_atom_site_fract_y
_atom_site_fract_z
_atom_site_occupancy
Y1 Y 0.0000 0.0000 0.0000 1
Mn1 Mn 0.5000 0.5000 0.0000 1
Te1 Te 0.0000 0.5000 0.5000 1
```

Results
Total magnetization = 3.8 μB per cell
Formation energy from raw total energies = -0.48 eV per atom
E = -25.57 eV for the cell shown

=====

Record 6
Computed, not measured: a geometry-optimized NiAsIrBr2 structure at the GGA-PBEsol level of DFT.

Cell and atoms, written as CIF:
```
data_NiAsIrBr2
_chemical_formula_sum 'Ni1 As1 Ir1 Br2'
_symmetry_space_group_name_H-M 'P 4/m m m'
_symmetry_Int_Tables_number 123
_symmetry_space_group_name_Hall '-P 4 2'
_cell_length_a 4.6237
_cell_length_b 4.6237
_cell_length_c 4.5570
_cell_angle_alpha 90.00
_cell_angle_beta 90.00
_cell_angle_gamma 90.00
loop_
_atom_site_label
_atom_site_type_symbol
_atom_site_fract_x
_atom_site_fract_y
_atom_site_fract_z
_atom_site_occupancy
Ni1 Ni 0.0000 0.0000 0.0000 1
As1 As 0.0000 0.0000 0.5000 1
Ir1 Ir 0.5000 0.5000 0.5000 1
Br1 Br 0.0000 0.5000 0.0000 1
```

Results
Total magnetization = 1.0 μB per cell
Formation energy from raw total energies = 1.10 eV per atom
E = -19.35 eV for the cell shown

=====

Which value of total magnetization does entry 6 give? 1.0 μB per cell

=====

Which value of total magnetization does entry 5 give? 3.8 μB per cell

=====

E of number 4 (K2SbF5)? -75.49 eV for the cell shown